No. 1
# PBE Te4Pb5I, relaxed
# E: -36.2 eV for the cell shown
data_Te4Pb5I
_chemical_formula_sum 'Te4 Pb5 I1'
_cell_length_a 4.4741
_cell_length_b 6.5854
_cell_length_c 12.9296
_cell_angle_alpha 104.75
_cell_angle_beta 99.96
_cell_angle_gamma 90.00
_space_group_name_H-M_alt 'P 1'
_space_group_IT_number 1
loop_
_space_group_symop_operation_xyz
'x,y,z'
loop_
_atom_site_label
_atom_site_type_symbol
_atom_site_fract_x
_atom_site_fract_y
_atom_site_fract_z
Te1 Te 0.4017 0.4017 0.8034
Te2 Te 0.7961 0.7961 0.5923
Te3 Te 0.2039 0.2039 0.4077
Te4 Te 0.5983 0.5983 0.1966
Pb1 Pb 0.6133 0.1133 0.2265
Pb2 Pb 0.8060 0.3060 0.6119
Pb3 Pb 0.1940 0.6940 0.3881
Pb4 Pb 0.0000 0.5000 0.0000
Pb5 Pb 0.3867 0.8867 0.7735
I1 I 0.0000 0.0000 0.0000

---

No. 2
# PBE TePb3I, relaxed
# energy relative to the lowest polymorph listed for this composition: 0 meV per atom
data_TePb3I
_chemical_formula_sum 'Te1 Pb3 I1'
_cell_length_a 6.1114
_cell_length_b 6.1114
_cell_length_c 6.1114
_cell_angle_alpha 90.00
_cell_angle_beta 90.00
_cell_angle_gamma 90.00
_space_group_name_H-M_alt 'P 1'
_space_group_IT_number 1
loop_
_space_group_symop_operation_xyz
'x,y,z'
loop_
_atom_site_label
_atom_site_type_symbol
_atom_site_fract_x
_atom_site_fract_y
_atom_site_fract_z
Pb1 Pb 0.0000 0.5000 0.0000
Pb2 Pb 0.0000 0.0000 0.5000
Pb3 Pb 0.5000 0.0000 0.0000
I1 I 0.5000 0.5000 0.5000
Te1 Te 0.0000 0.0000 0.0000

---

No. 3
# PBE Te2PbI, relaxed
# energy relative to the lowest polymorph listed for this composition: 0 meV per atom
data_Te2PbI
_chemical_formula_sum 'Te2 Pb1 I1'
_cell_length_a 9.6655
_cell_length_b 9.6655
_cell_length_c 9.6655
_cell_angle_alpha 27.97
_cell_angle_beta 27.97
_cell_angle_gamma 27.97
_space_group_name_H-M_alt 'P 1'
_space_group_IT_number 1
loop_
_space_group_symop_operation_xyz
'x,y,z'
loop_
_atom_site_label
_atom_site_type_symbol
_atom_site_fract_x
_atom_site_fract_y
_atom_site_fract_z
Pb1 Pb 0.5000 0.5000 0.5000
I1 I 0.0000 0.0000 0.0000
Te1 Te 0.8946 0.8946 0.8946
Te2 Te 0.1054 0.1054 0.1054

---

No. 4
# PBE TePb2I, relaxed
# energy relative to the lowest polymorph listed for this composition: 70 meV per atom
data_TePb2I
_chemical_formula_sum 'Te1 Pb2 I1'
_cell_length_a 5.6798
_cell_length_b 5.6798
_cell_length_c 5.6798
_cell_angle_alpha 60.00
_cell_angle_beta 60.00
_cell_angle_gamma 60.00
_space_group_name_H-M_alt 'P 1'
_space_group_IT_number 1
loop_
_space_group_symop_operation_xyz
'x,y,z'
loop_
_atom_site_label
_atom_site_type_symbol
_atom_site_fract_x
_atom_site_fract_y
_atom_site_fract_z
Pb1 Pb 0.2500 0.2500 0.2500
Pb2 Pb 0.7500 0.7500 0.7500
I1 I 0.5000 0.5000 0.5000
Te1 Te 0.0000 0.0000 0.0000

---

Short version: DOS(E_F) = 3.71; 9.60; 3.54; 1.48 states/eV per cell, in the order given.